{"formula": "TmMoN", "functional": "PBE", "state": "relaxed", "cell": [[3.121, 0.000, 0.000], [-1.561, 2.703, 0.000], [0.000, 0.000, 10.879]], "species": ["Tm", "Tm", "Mo", "Mo", "N", "N"], "frac_coords": [[0.000, 0.000, 0.137], [0.000, 0.000, 0.863], [0.667, 0.333, 0.381], [0.667, 0.333, 0.619], [0.000, 0.000, 0.500], [0.667, 0.333, 0.000]], "final_energy_ev_per_atom": -8.13, "spacegroup": "P-6m2 (187)", "total_magnetization_mub_per_fu": 0.01}